# Mg2ZrSb | Alexandria | PBEsol | relaxed
data_Mg2ZrSb
_chemical_formula_sum 'Mg2 Zr1 Sb1'
_cell_length_a 4.990
_cell_length_b 4.990
_cell_length_c 4.990
_cell_angle_alpha 60.00
_cell_angle_beta 60.00
_cell_angle_gamma 60.00
_space_group_name_H-M_alt 'P 1'
_space_group_IT_number 1
loop_
_space_group_symop_operation_xyz
'x,y,z'
loop_
_atom_site_label
_atom_site_type_symbol
_atom_site_fract_x
_atom_site_fract_y
_atom_site_fract_z
_atom_site_occupancy
Sb1 Sb 0.500 0.500 0.500 1
Mg1 Mg 0.000 0.000 0.000 1
Mg2 Mg 0.250 0.250 0.250 1
Zr1 Zr 0.750 0.750 0.750 1
# uncorrected formation energy	0.01	eV per atom
# space-group type	F-43m, No. 216
# size of the total moment	0.0	μB/f.u.
# N(E_F)	4.07	states/eV/cell

=====

# Mg2ZrSb | Alexandria | PBEsol | relaxed
data_Mg2ZrSb
_chemical_formula_sum 'Mg2 Zr1 Sb1'
_cell_length_a 3.108
_cell_length_b 5.288
_cell_length_c 6.092
_cell_angle_alpha 114.28
_cell_angle_beta 102.49
_cell_angle_gamma 95.12
_space_group_name_H-M_alt 'P 1'
_space_group_IT_number 1
loop_
_space_group_symop_operation_xyz
'x,y,z'
loop_
_atom_site_label
_atom_site_type_symbol
_atom_site_fract_x
_atom_site_fract_y
_atom_site_fract_z
_atom_site_occupancy
Sb1 Sb 0.000 0.500 0.000 1
Mg1 Mg 0.000 0.000 0.500 1
Zr1 Zr 0.500 0.000 0.000 1
Mg2 Mg 0.500 0.500 0.500 1
# uncorrected formation energy	-0.18	eV per atom
# space-group type	C2/m, No. 12
# size of the total moment	0.0	μB/f.u.
# N(E_F)	1.99	states/eV/cell

=====

# MgZrSb2 | Alexandria | PBEsol | relaxed
data_MgZrSb2
_chemical_formula_sum 'Mg1 Zr1 Sb2'
_cell_length_a 3.209
_cell_length_b 5.253
_cell_length_c 5.829
_cell_angle_alpha 98.03
_cell_angle_beta 90.00
_cell_angle_gamma 107.78
_space_group_name_H-M_alt 'P 1'
_space_group_IT_number 1
loop_
_space_group_symop_operation_xyz
'x,y,z'
loop_
_atom_site_label
_atom_site_type_symbol
_atom_site_fract_x
_atom_site_fract_y
_atom_site_fract_z
_atom_site_occupancy
Sb1 Sb 0.262 0.525 0.269 1
Zr1 Zr 0.000 0.000 0.500 1
Mg1 Mg 0.500 0.000 0.000 1
Sb2 Sb 0.738 0.475 0.731 1
# uncorrected formation energy	-0.21	eV per atom
# space-group type	C2/m, No. 12
# size of the total moment	0.0	μB/f.u.
# N(E_F)	2.70	states/eV/cell

=====

# MgZr2Sb2 | Alexandria | PBEsol | relaxed
data_MgZr2Sb2
_chemical_formula_sum 'Mg2 Zr4 Sb4'
_cell_length_a 3.738
_cell_length_b 7.782
_cell_length_c 7.782
_cell_angle_alpha 90.00
_cell_angle_beta 90.00
_cell_angle_gamma 90.00
_space_group_name_H-M_alt 'P 1'
_space_group_IT_number 1
loop_
_space_group_symop_operation_xyz
'x,y,z'
loop_
_atom_site_label
_atom_site_type_symbol
_atom_site_fract_x
_atom_site_fract_y
_atom_site_fract_z
_atom_site_occupancy
Sb1 Sb 0.000 0.849 0.651 1
Zr1 Zr 0.500 0.642 0.858 1
Zr2 Zr 0.500 0.858 0.358 1
Mg1 Mg 0.000 0.000 0.000 1
Sb2 Sb 0.000 0.651 0.151 1
Zr3 Zr 0.500 0.142 0.642 1
Mg2 Mg 0.000 0.500 0.500 1
Sb3 Sb 0.000 0.151 0.349 1
Sb4 Sb 0.000 0.349 0.849 1
Zr4 Zr 0.500 0.358 0.142 1
# uncorrected formation energy	-0.55	eV per atom
# space-group type	P4/mbm, No. 127
# size of the total moment	0.0	μB/f.u.
# N(E_F)	4.73	states/eV/cell

=====

# Mg2ZrSb | Alexandria | PBEsol | relaxed
data_Mg2ZrSb
_chemical_formula_sum 'Mg2 Zr1 Sb1'
_cell_length_a 4.217
_cell_length_b 4.217
_cell_length_c 5.564
_cell_angle_alpha 112.27
_cell_angle_beta 112.27
_cell_angle_gamma 90.00
_space_group_name_H-M_alt 'P 1'
_space_group_IT_number 1
loop_
_space_group_symop_operation_xyz
'x,y,z'
loop_
_atom_site_label
_atom_site_type_symbol
_atom_site_fract_x
_atom_site_fract_y
_atom_site_fract_z
_atom_site_occupancy
Mg1 Mg 0.000 0.000 0.000 1
Mg2 Mg 0.750 0.250 0.500 1
Sb1 Sb 0.500 0.500 0.000 1
Zr1 Zr 0.250 0.750 0.500 1
# uncorrected formation energy	-0.32	eV per atom
# space-group type	I-4m2, No. 119
# size of the total moment	0.0	μB/f.u.
# N(E_F)	1.74	states/eV/cell

=====

# Mg2ZrSb | Alexandria | PBEsol | relaxed
data_Mg2ZrSb
_chemical_formula_sum 'Mg2 Zr1 Sb1'
_cell_length_a 3.779
_cell_length_b 3.779
_cell_length_c 6.179
_cell_angle_alpha 90.00
_cell_angle_beta 90.00
_cell_angle_gamma 90.00
_space_group_name_H-M_alt 'P 1'
_space_group_IT_number 1
loop_
_space_group_symop_operation_xyz
'x,y,z'
loop_
_atom_site_label
_atom_site_type_symbol
_atom_site_fract_x
_atom_site_fract_y
_atom_site_fract_z
_atom_site_occupancy
Sb1 Sb 0.000 0.000 0.525 1
Mg1 Mg 0.500 0.500 0.242 1
Mg2 Mg 0.000 0.000 0.001 1
Zr1 Zr 0.500 0.500 0.732 1
# uncorrected formation energy	-0.30	eV per atom
# space-group type	P4mm, No. 99
# size of the total moment	0.0	μB/f.u.
# N(E_F)	2.40	states/eV/cell

=====

# MgZrSb2 | Alexandria | PBEsol | relaxed
data_MgZrSb2
_chemical_formula_sum 'Mg1 Zr1 Sb2'
_cell_length_a 3.869
_cell_length_b 4.362
_cell_length_c 5.876
_cell_angle_alpha 96.31
_cell_angle_beta 109.22
_cell_angle_gamma 90.00
_space_group_name_H-M_alt 'P 1'
_space_group_IT_number 1
loop_
_space_group_symop_operation_xyz
'x,y,z'
loop_
_atom_site_label
_atom_site_type_symbol
_atom_site_fract_x
_atom_site_fract_y
_atom_site_fract_z
_atom_site_occupancy
Zr1 Zr 0.534 0.600 0.068 1
Sb1 Sb 0.984 0.084 0.968 1
Mg1 Mg 0.734 0.161 0.468 1
Sb2 Sb 0.248 0.656 0.495 1
# uncorrected formation energy	-0.44	eV per atom
# space-group type	Cm, No. 8
# size of the total moment	0.0	μB/f.u.
# N(E_F)	2.16	states/eV/cell

=====

# Mg2ZrSb | Alexandria | PBEsol | relaxed
data_Mg2ZrSb
_chemical_formula_sum 'Mg2 Zr1 Sb1'
_cell_length_a 3.155
_cell_length_b 3.155
_cell_length_c 9.264
_cell_angle_alpha 90.00
_cell_angle_beta 90.00
_cell_angle_gamma 90.00
_space_group_name_H-M_alt 'P 1'
_space_group_IT_number 1
loop_
_space_group_symop_operation_xyz
'x,y,z'
loop_
_atom_site_label
_atom_site_type_symbol
_atom_site_fract_x
_atom_site_fract_y
_atom_site_fract_z
_atom_site_occupancy
Mg1 Mg 0.500 0.500 0.241 1
Mg2 Mg 0.000 0.000 0.997 1
Sb1 Sb 0.000 0.000 0.516 1
Zr1 Zr 0.500 0.500 0.746 1
# uncorrected formation energy	-0.09	eV per atom
# space-group type	P4mm, No. 99
# size of the total moment	0.0	μB/f.u.
# N(E_F)	3.41	states/eV/cell